(1)
Compound: RbTeHC2
Source: Alexandria via LeMat-Bulk
Functional: GGA-PBEsol
Structure: optimized geometry

Energy ... -16.7 eV per cell

a b c (Å): 4.1695 4.1695 7.8384
angles (deg): 90.00 90.00 90.00
Last column: magnetic moment on the atom in μB.
Atoms (fractional coordinates):
H  0.5000  0.5000  0.5000  0.08
C  0.0000  0.5000  0.0000  0.18
C  0.5000  0.0000  0.0000  0.18
Te  0.0000  0.0000  0.0000  -0.01
Rb  0.0000  0.0000  0.5000  0.01

(2)
Compound: Li2TiCo2O6
Source: Alexandria via LeMat-Bulk
Functional: GGA-PBEsol
Structure: optimized geometry

Raw formation energy ... -20.683 eV per formula unit

a b c (Å): 4.8620 4.8620 9.9179
angles (deg): 90.00 90.00 119.68
Atoms (fractional coordinates):
Li  0.6688  0.1688  0.2500
Li  0.8312  0.3312  0.7500
Li  0.1688  0.6688  0.2500
Li  0.3312  0.8312  0.7500
Ti  0.0000  0.0000  0.0000
Ti  0.5000  0.5000  0.5000
Co  0.6649  0.3351  0.0000
Co  0.1649  0.8351  0.5000
Co  0.8351  0.1649  0.5000
Co  0.3351  0.6649  0.0000
O  0.1575  0.1575  0.3972
O  0.3425  0.3425  0.8972
O  0.6575  0.6575  0.1028
O  0.3451  0.9985  0.1061
O  0.8425  0.8425  0.6028
O  0.5015  0.1549  0.6061
O  0.8451  0.4985  0.3939
O  0.0015  0.6549  0.8939
O  0.6549  0.0015  0.8939
O  0.9985  0.3451  0.1061
O  0.1549  0.5015  0.6061
O  0.4985  0.8451  0.3939

Here are the calculated spin magnetization numbers, same order: 0.9; 0.0 (μB/f.u.).